1.
# V5RuRh4 (PBE-GGA, relaxed)
data_V5RuRh4
_symmetry_space_group_name_H-M 'P 1'
_symmetry_Int_Tables_number 1
_cell_length_a 2.699
_cell_length_b 2.699
_cell_length_c 20.558
_cell_angle_alpha 90.00
_cell_angle_beta 90.00
_cell_angle_gamma 90.00
loop_
_symmetry_equiv_pos_as_xyz
'x,y,z'
loop_
_atom_site_label
_atom_site_fract_x
_atom_site_fract_y
_atom_site_fract_z
V1 0.500 0.500 0.320
V2 0.500 0.500 0.793
V3 0.500 0.500 0.500
V4 0.500 0.500 0.207
V5 0.500 0.500 0.680
Ru1 0.000 0.000 0.000
Rh1 0.000 0.000 0.592
Rh2 0.000 0.000 0.875
Rh3 0.000 0.000 0.125
Rh4 0.000 0.000 0.408
# Formation energy from the elements (eV per atom): 0.206
# Uncorrected energy (Ry/atom): -0.604
# Symmetry: P4/mmm (123)


2.
# MgCoPb3 (PBE-GGA, relaxed)
data_MgCoPb3
_symmetry_space_group_name_H-M 'P 1'
_symmetry_Int_Tables_number 1
_cell_length_a 5.142
_cell_length_b 5.142
_cell_length_c 5.142
_cell_angle_alpha 90.00
_cell_angle_beta 90.00
_cell_angle_gamma 90.00
loop_
_symmetry_equiv_pos_as_xyz
'x,y,z'
loop_
_atom_site_label
_atom_site_fract_x
_atom_site_fract_y
_atom_site_fract_z
Pb1 0.000 0.500 0.000
Pb2 0.000 0.000 0.500
Pb3 0.500 0.000 0.000
Mg1 0.500 0.500 0.500
Co1 0.000 0.000 0.000
# Formation energy from the elements (eV per atom): 0.249
# Energy above the lowest structure with this stoichiometry (eV per atom): 0.000
# Uncorrected energy (Ry/atom): -0.273
# Symmetry: Pm-3m (221)


3.
# Sc2IrPt (PBE-GGA, relaxed)
data_Sc2IrPt
_symmetry_space_group_name_H-M 'P 1'
_symmetry_Int_Tables_number 1
_cell_length_a 9.135
_cell_length_b 9.135
_cell_length_c 9.135
_cell_angle_alpha 20.08
_cell_angle_beta 20.08
_cell_angle_gamma 20.08
loop_
_symmetry_equiv_pos_as_xyz
'x,y,z'
loop_
_atom_site_label
_atom_site_fract_x
_atom_site_fract_y
_atom_site_fract_z
Ir1 0.501 0.501 0.501
Pt1 0.749 0.749 0.749
Sc1 0.014 0.014 0.014
Sc2 0.236 0.236 0.236
# Formation energy from the elements (eV per atom): -0.254
# Uncorrected energy (Ry/atom): -0.525
# Symmetry: R3m (160)


4.
# Pr2DySe (PBE-GGA, relaxed)
data_Pr2DySe
_symmetry_space_group_name_H-M 'P 1'
_symmetry_Int_Tables_number 1
_cell_length_a 3.922
_cell_length_b 3.922
_cell_length_c 10.054
_cell_angle_alpha 78.75
_cell_angle_beta 78.75
_cell_angle_gamma 60.00
loop_
_symmetry_equiv_pos_as_xyz
'x,y,z'
loop_
_atom_site_label
_atom_site_fract_x
_atom_site_fract_y
_atom_site_fract_z
Pr1 0.267 0.267 0.200
Pr2 0.733 0.733 0.800
Se1 0.000 0.000 0.000
Dy1 0.500 0.500 0.500
# Formation energy from raw total energies (meV per atom): -751
# Uncorrected energy (Ry/atom): -0.379
# Symmetry: R-3m (166)


5.
# RbV (PBE-GGA, relaxed)
data_RbV
_symmetry_space_group_name_H-M 'P 1'
_symmetry_Int_Tables_number 1
_cell_length_a 13.624
_cell_length_b 13.624
_cell_length_c 3.287
_cell_angle_alpha 90.00
_cell_angle_beta 90.00
_cell_angle_gamma 90.00
loop_
_symmetry_equiv_pos_as_xyz
'x,y,z'
loop_
_atom_site_label
_atom_site_fract_x
_atom_site_fract_y
_atom_site_fract_z
Rb1 0.197 0.891 0.000
Rb2 0.803 0.109 0.000
Rb3 0.109 0.197 0.000
Rb4 0.891 0.803 0.000
Rb5 0.697 0.391 0.500
Rb6 0.303 0.609 0.500
Rb7 0.609 0.697 0.500
Rb8 0.391 0.303 0.500
V1 0.415 0.043 0.000
V2 0.585 0.957 0.000
V3 0.957 0.415 0.000
V4 0.043 0.585 0.000
V5 0.915 0.543 0.500
V6 0.085 0.457 0.500
V7 0.457 0.915 0.500
V8 0.543 0.085 0.500
# Formation energy from the elements (eV per atom): 0.834
# Energy above the lowest structure with this stoichiometry (eV per atom): 0.005
# Uncorrected energy (Ry/atom): -0.309
# Symmetry: I4/m (87)


6.
# TlInICl2 (PBE-GGA, relaxed)
data_TlInICl2
_symmetry_space_group_name_H-M 'P 1'
_symmetry_Int_Tables_number 1
_cell_length_a 5.375
_cell_length_b 5.375
_cell_length_c 6.202
_cell_angle_alpha 90.00
_cell_angle_beta 90.00
_cell_angle_gamma 90.00
loop_
_symmetry_equiv_pos_as_xyz
'x,y,z'
loop_
_atom_site_label
_atom_site_fract_x
_atom_site_fract_y
_atom_site_fract_z
I1 0.000 0.000 0.500
Tl1 0.500 0.500 0.500
Cl1 0.000 0.500 0.000
Cl2 0.500 0.000 0.000
In1 0.000 0.000 0.000
# Formation energy from raw total energies (meV per atom): -790
# Uncorrected energy (Ry/atom): -0.210
# Symmetry: P4/mmm (123)


7.
# PrPa2H8 (PBE-GGA, relaxed)
data_PrPa2H8
_symmetry_space_group_name_H-M 'P 1'
_symmetry_Int_Tables_number 1
_cell_length_a 3.503
_cell_length_b 5.983
_cell_length_c 6.409
_cell_angle_alpha 117.83
_cell_angle_beta 105.86
_cell_angle_gamma 90.00
loop_
_symmetry_equiv_pos_as_xyz
'x,y,z'
loop_
_atom_site_label
_atom_site_fract_x
_atom_site_fract_y
_atom_site_fract_z
Pr1 0.500 0.000 0.000
Pa1 0.176 0.676 0.351
Pa2 0.824 0.324 0.649
H1 0.668 0.909 0.335
H2 0.332 0.573 0.665
H3 0.173 0.173 0.346
H4 0.000 0.283 0.000
H5 0.827 0.827 0.654
H6 0.668 0.427 0.335
H7 0.332 0.091 0.665
H8 0.000 0.717 0.000
# Uncorrected energy (Ry/atom): -0.364
# Symmetry: Immm (71)


8.
# La2TbS2O2 (PBE-GGA, relaxed)
data_La2TbS2O2
_symmetry_space_group_name_H-M 'P 1'
_symmetry_Int_Tables_number 1
_cell_length_a 4.349
_cell_length_b 4.349
_cell_length_c 8.195
_cell_angle_alpha 105.39
_cell_angle_beta 105.39
_cell_angle_gamma 90.00
loop_
_symmetry_equiv_pos_as_xyz
'x,y,z'
loop_
_atom_site_label
_atom_site_fract_x
_atom_site_fract_y
_atom_site_fract_z
La1 0.367 0.367 0.733
La2 0.633 0.633 0.267
Tb1 0.000 0.000 0.000
S1 0.179 0.179 0.357
S2 0.821 0.821 0.643
O1 0.000 0.500 0.000
O2 0.500 0.000 0.000
# Formation energy from raw total energies (meV per atom): -2569
# Uncorrected energy (Ry/atom): -0.532
# Symmetry: I4/mmm (139)